Computed, not measured: a relaxed SrMoW2 crystal at the PBE level of DFT.

Cell and atoms, written as CIF:
```
data_SrMoW2
_chemical_formula_sum 'Sr4 Mo4 W8'
_cell_length_a 5.046
_cell_length_b 5.046
_cell_length_c 17.500
_cell_angle_alpha 90.00
_cell_angle_beta 90.00
_cell_angle_gamma 90.00
_symmetry_space_group_name_H-M 'I 41/a m d'
_symmetry_Int_Tables_number 141
loop_
_symmetry_equiv_pos_as_xyz
'x,y,z'
'-x,-y,-z'
'-y+1/4,x+3/4,z+1/4'
'y+1/4,-x+3/4,-z+1/4'
'-x+1/2,-y,z+1/2'
'x+1/2,y,-z+1/2'
'y+1/4,-x+1/4,z+3/4'
'-y+1/4,x+1/4,-z+3/4'
'x,-y,-z'
'-x,y,z'
'-y+1/4,-x+1/4,-z+3/4'
'y+1/4,x+1/4,z+3/4'
'-x+1/2,y,-z+1/2'
'x+1/2,-y,z+1/2'
'y+1/4,x+3/4,-z+1/4'
'-y+1/4,-x+3/4,z+1/4'
'x+1/2,y+1/2,z+1/2'
'-x+1/2,-y+1/2,-z+1/2'
'-y+3/4,x+1/4,z+3/4'
'y+3/4,-x+1/4,-z+3/4'
'-x,-y+1/2,z'
'x,y+1/2,-z'
'y+3/4,-x+3/4,z+1/4'
'-y+3/4,x+3/4,-z+1/4'
'x+1/2,-y+1/2,-z+1/2'
'-x+1/2,y+1/2,z+1/2'
'-y+3/4,-x+3/4,-z+1/4'
'y+3/4,x+3/4,z+1/4'
'-x,y+1/2,-z'
'x,-y+1/2,z'
'y+3/4,x+1/4,-z+3/4'
'-y+3/4,-x+1/4,z+3/4'
loop_
_atom_site_label
_atom_site_type_symbol
_atom_site_fract_x
_atom_site_fract_y
_atom_site_fract_z
_atom_site_occupancy
Sr1 Sr 0.000 0.250 0.375 1
Mo1 Mo 0.000 0.250 0.875 1
W1 W 0.000 0.000 0.000 1
```

## Properties
Energy relative to the lowest polymorph listed for this composition (meV per atom): 807

=====

Computed, not measured: a relaxed Na4Ge3Pt2 crystal at the PBE level of DFT.

Cell and atoms, written as CIF:
```
data_Na4Ge3Pt2
_chemical_formula_sum 'Na8 Ge6 Pt4'
_cell_length_a 15.820
_cell_length_b 4.131
_cell_length_c 6.167
_cell_angle_alpha 90.00
_cell_angle_beta 94.82
_cell_angle_gamma 90.00
_symmetry_space_group_name_H-M 'C 1 2/m 1'
_symmetry_Int_Tables_number 12
_symmetry_space_group_name_Hall '-C 2y'
loop_
_atom_site_label
_atom_site_type_symbol
_atom_site_fract_x
_atom_site_fract_y
_atom_site_fract_z
_atom_site_occupancy
Na1 Na 0.080 0.000 0.384 1
Na2 Na 0.220 0.500 0.202 1
Ge1 Ge 0.000 0.500 0.000 1
Ge2 Ge 0.137 0.500 0.719 1
Pt1 Pt 0.083 0.000 0.896 1
```

=====

Number 1: formation energy from the elements 1.544 eV per atom. Number 2: formation energy from the elements -0.284 eV per atom.